Record 1
## TbHfTeC (GGA-PBE)

Data for TbHfTeC after structural relaxation.

Space-group type ... P-6m2
Mass density ... 10.01 g cm⁻³
DFT total energy ... -7.56 eV/atom

a = 3.634 Å, b = 3.634 Å, c = 13.847 Å
α = 90.00°, β = 90.00°, γ = 120.00°
Fractional coordinates of all 8 atoms:
Tb1 0.000 0.000 0.166
Tb2 0.000 0.000 0.834
Hf1 0.667 0.333 0.347
Hf2 0.667 0.333 0.653
Te1 0.000 0.000 0.500
Te2 0.667 0.333 0.000
C1 0.333 0.667 0.273
C2 0.333 0.667 0.727

---

Record 2
## Li4Al2CdPd (GGA-PBE)

Data for Li4Al2CdPd after structural relaxation.

Space-group type ... P-4m2
Mass density ... 4.13 g cm⁻³
DFT total energy ... -3.02 eV/atom

a = 4.381 Å, b = 4.381 Å, c = 6.291 Å
α = 90.00°, β = 90.00°, γ = 90.00°
Fractional coordinates of all 8 atoms:
Li1 0.000 0.000 0.000
Li2 0.000 0.500 0.739
Li3 0.500 0.000 0.261
Li4 0.500 0.500 0.500
Al1 0.000 0.500 0.281
Al2 0.500 0.000 0.719
Cd1 0.500 0.500 0.000
Pd1 0.000 0.000 0.500

---

Record 3
## RbErPdS3 (GGA-PBE)

Data for RbErPdS3 after structural relaxation.

Space-group type ... Cmcm
Mass density ... 4.89 g cm⁻³
DFT total energy ... -5.05 eV/atom

a = 8.046 Å, b = 8.046 Å, c = 9.811 Å
α = 90.00°, β = 90.00°, γ = 150.84°
Fractional coordinates of all 12 atoms:
Rb1 0.246 0.754 0.750
Rb2 0.754 0.246 0.250
Er1 0.000 0.000 0.000
Er2 0.000 0.000 0.500
Pd1 0.494 0.506 0.250
Pd2 0.506 0.494 0.750
S1 0.083 0.917 0.250
S2 0.391 0.609 0.072
S3 0.391 0.609 0.428
S4 0.609 0.391 0.572
S5 0.609 0.391 0.928
S6 0.917 0.083 0.750

---

Record 4
## Pd3Au7 (GGA-PBE)

Data for Pd3Au7 after structural relaxation.

Space-group type ... C2/m
Mass density ... 16.41 g cm⁻³
Energy of formation from the pure elements ... -0.09 eV per atom
DFT total energy ... -3.93 eV/atom

a = 7.639 Å, b = 7.639 Å, c = 5.785 Å
α = 101.84°, β = 101.84°, γ = 31.40°
Fractional coordinates of all 10 atoms:
Pd1 0.000 0.000 0.000
Pd2 0.200 0.200 0.603
Pd3 0.800 0.800 0.397
Au1 0.000 0.000 0.500
Au2 0.200 0.200 0.106
Au3 0.398 0.398 0.695
Au4 0.400 0.400 0.197
Au5 0.600 0.600 0.803
Au6 0.602 0.602 0.305
Au7 0.800 0.800 0.894

---

Record 5
## NaErAsO (GGA-PBE)

Data for NaErAsO after structural relaxation.

Space-group type ... P4/nmm
Mass density ... 5.94 g cm⁻³
DFT total energy ... -5.03 eV/atom

a = 5.650 Å, b = 5.650 Å, c = 4.923 Å
α = 90.00°, β = 90.00°, γ = 90.00°
Fractional coordinates of all 8 atoms:
Na1 0.250 0.250 0.002
Na2 0.750 0.750 0.998
Er1 0.250 0.750 0.500
Er2 0.750 0.250 0.500
As1 0.250 0.250 0.502
As2 0.750 0.750 0.498
O1 0.250 0.750 0.000
O2 0.750 0.250 0.000

---

Record 6
## ZrTlHg3S4 (GGA-PBE)

Data for ZrTlHg3S4 after structural relaxation.

Space-group type ... P-43m
Mass density ... 5.41 g cm⁻³
DFT total energy ... -3.48 eV/atom

a = 6.801 Å, b = 6.801 Å, c = 6.801 Å
α = 90.00°, β = 90.00°, γ = 90.00°
Fractional coordinates of all 9 atoms:
Zr1 0.000 0.000 0.000
Tl1 0.500 0.500 0.500
Hg1 0.000 0.000 0.500
Hg2 0.000 0.500 0.000
Hg3 0.500 0.000 0.000
S1 0.209 0.209 0.791
S2 0.209 0.791 0.209
S3 0.791 0.209 0.209
S4 0.791 0.791 0.791

---

Record 7
## ZnAsPtO (GGA-PBE)

Data for ZnAsPtO after structural relaxation.

Space-group type ... P4/nmm
Mass density ... 9.95 g cm⁻³
DFT total energy ... -3.99 eV/atom

a = 3.734 Å, b = 3.734 Å, c = 8.417 Å
α = 90.00°, β = 90.00°, γ = 90.00°
Fractional coordinates of all 8 atoms:
Zn1 0.250 0.750 0.000
Zn2 0.750 0.250 0.000
As1 0.250 0.250 0.232
As2 0.750 0.750 0.768
Pt1 0.250 0.250 0.645
Pt2 0.750 0.750 0.355
O1 0.250 0.750 0.500
O2 0.750 0.250 0.500

---

Record 8
## BaPrO3 (GGA-PBE)

Data for BaPrO3 after structural relaxation.

Space-group type ... Pm-3m
Mass density ... 5.34 g cm⁻³
DFT total energy ... -5.58 eV/atom

a = 4.663 Å, b = 4.663 Å, c = 4.663 Å
α = 90.00°, β = 90.00°, γ = 90.00°
Fractional coordinates of all 5 atoms:
Ba1 0.000 0.000 0.000
Pr1 0.500 0.500 0.500
O1 0.000 0.000 0.500
O2 0.000 0.500 0.000
O3 0.500 0.000 0.000